(1)
Material: PrAl2Ni
Method: DFT, PBE
State: optimized geometry

Geometry as extended XYZ:
```
8
Lattice="2.138 -8.896 0.000 2.138 8.896 0.000 0.000 0.000 4.175" Properties=species:S:1:pos:R:3 pbc="T T T"
Pr 2.138 6.385 0.000
Pr 2.138 -6.385 0.000
Al 0.000 0.000 2.088
Al 2.138 3.696 2.088
Al 2.138 0.000 0.000
Al 2.138 -3.696 2.088
Ni 2.138 1.286 2.088
Ni 2.138 -1.286 2.088
```

- volume (Å³/cell) = 158.8
- theoretical density (g cm⁻³) = 5.3
- electronic total energy (Ry per atom) = -0.3672
- magnetic moment (μB/atom) = 0.00
- crystal system = orthorhombic

(2)
Material: DyTmSnC
Method: DFT, PBE
State: optimized geometry

Geometry as extended XYZ:
```
8
Lattice="3.592 0.000 0.000 -1.796 3.111 0.000 0.000 0.000 15.738" Properties=species:S:1:pos:R:3 pbc="T T T"
Dy 0.000 0.000 2.608
Dy 0.000 0.000 13.129
Tm 0.000 2.074 5.263
Tm 0.000 2.074 10.475
Sn 0.000 0.000 7.869
Sn 0.000 2.074 0.000
C 1.796 1.037 3.954
C 1.796 1.037 11.783
```

- volume (Å³/cell) = 175.9
- theoretical density (g cm⁻³) = 8.7
- electronic total energy (Ry per atom) = -0.4512
- magnetic moment (μB/atom) = 0.00
- crystal system = hexagonal

(3)
Material: CsTaAgAu
Method: DFT, PBE
State: optimized geometry

Geometry as extended XYZ:
```
4
Lattice="0.000 3.536 3.536 3.536 0.000 3.536 3.536 3.536 0.000" Properties=species:S:1:pos:R:3 pbc="T T T"
Cs 0.000 0.000 0.000
Ta 5.304 5.304 5.304
Ag 1.768 1.768 1.768
Au 3.536 3.536 3.536
```

- volume (Å³/cell) = 88.4
- theoretical density (g cm⁻³) = 11.6
- magnetic moment (μB/atom) = 0.00
- polymorph energy (0 for the lowest one) (meV per atom) = 0
- crystal system = cubic

(4)
Material: Lu2Zr4Ni3N3
Method: DFT, PBE
State: optimized geometry

Geometry as extended XYZ:
```
24
Lattice="4.863 -2.808 0.000 4.863 2.808 0.000 -3.307 0.000 13.430" Properties=species:S:1:pos:R:3 pbc="T T T"
Lu 2.416 2.344 8.287
Lu 2.351 2.344 11.858
Lu 4.069 -2.344 1.572
Lu 4.005 -2.344 5.143
Zr 2.408 0.464 1.236
Zr 2.405 0.493 5.479
Zr 0.755 -0.464 7.951
Zr 0.752 -0.493 12.194
Zr 5.668 0.493 1.236
Zr 5.665 0.464 5.479
Zr 4.015 -0.493 7.951
Zr 4.012 -0.464 12.194
Ni -0.109 0.890 10.076
Ni 1.544 -0.890 3.361
Ni 4.037 0.420 3.357
Ni 2.383 -0.420 10.072
Ni 4.876 0.890 10.069
Ni 6.529 -0.890 3.354
N 0.778 1.404 6.715
N 4.066 1.428 0.002
N 4.008 1.428 6.713
N 2.432 -1.404 0.000
N 2.412 -1.428 6.717
N 2.355 -1.428 13.428
```

- volume (Å³/cell) = 366.8
- theoretical density (g cm⁻³) = 8.4
- electronic total energy (Ry per atom) = -0.5910
- magnetic moment (μB/atom) = 0.00
- crystal system = monoclinic

(5)
Material: CsTmCuS3
Method: DFT, PBE
State: optimized geometry

Geometry as extended XYZ:
```
12
Lattice="9.251 0.000 0.000 0.000 3.948 0.000 -3.621 0.000 8.981" Properties=species:S:1:pos:R:3 pbc="T T T"
Cs 1.083 0.987 2.200
Cs 4.547 2.961 6.781
Tm -0.051 2.961 7.722
Tm 5.681 0.987 1.258
Cu -1.442 0.987 5.464
Cu 7.072 2.961 3.517
S -1.899 0.987 7.707
S -0.344 2.961 4.938
S 3.838 2.961 1.399
S 1.792 0.987 7.582
S 5.975 0.987 4.043
S 7.530 2.961 1.273
```

- volume (Å³/cell) = 328.0
- theoretical density (g cm⁻³) = 4.7
- electronic total energy (Ry per atom) = -0.3562
- magnetic moment (μB/atom) = 0.00
- crystal system = monoclinic

(6)
Material: LaAgSn2O
Method: DFT, PBE
State: optimized geometry

Geometry as extended XYZ:
```
5
Lattice="-2.475 2.475 4.665 2.475 -2.475 4.665 2.475 2.475 -4.665" Properties=species:S:1:pos:R:3 pbc="T T T"
La 0.000 0.000 0.000
Ag 0.000 2.475 2.332
Sn 0.000 0.000 3.254
Sn 0.000 0.000 6.075
O 2.475 0.000 2.332
```

- volume (Å³/cell) = 114.3
- theoretical density (g cm⁻³) = 7.3
- electronic total energy (Ry per atom) = -0.3415
- magnetic moment (μB/atom) = 0.00
- crystal system = tetragonal

(7)
Material: CuAg4
Method: DFT, PBE
State: optimized geometry

Geometry as extended XYZ:
```
10
Lattice="2.050 -10.128 0.000 2.050 10.128 0.000 0.000 0.000 4.047" Properties=species:S:1:pos:R:3 pbc="T T T"
Cu 2.050 5.990 0.000
Cu 2.050 -5.990 0.000
Ag 0.000 0.000 0.000
Ag 2.050 7.984 2.024
Ag 2.050 4.131 2.024
Ag 2.050 2.136 0.000
Ag 2.050 0.000 2.024
Ag 2.050 -2.136 0.000
Ag 2.050 -4.131 2.024
Ag 2.050 -7.984 2.024
```

- volume (Å³/cell) = 168.1
- theoretical density (g cm⁻³) = 9.8
- polymorph energy (0 for the lowest one) (meV per atom) = 28
- crystal system = orthorhombic
- ΔH_f (0 K) (eV/atom) = 0.052

(8)
Material: HoScSnC
Method: DFT, PBE
State: optimized geometry

Geometry as extended XYZ:
```
8
Lattice="3.486 0.000 0.000 -1.743 3.019 0.000 0.000 0.000 15.383" Properties=species:S:1:pos:R:3 pbc="T T T"
Ho 0.000 2.012 6.342
Ho 1.743 1.006 9.040
Sc 0.000 2.012 1.193
Sc 1.743 1.006 14.190
Sn 0.000 2.012 11.702
Sn 1.743 1.006 3.681
C 0.000 0.000 0.000
C 0.000 0.000 7.691
```

- volume (Å³/cell) = 161.9
- theoretical density (g cm⁻³) = 7.0
- magnetic moment (μB/atom) = 0.00
- polymorph energy (0 for the lowest one) (meV per atom) = 3
- crystal system = trigonal

Which of these has the lowest theoretical density?
CsTmCuS3

Which of these has the lowest volume?
CsTaAgAu